(1)
# YSe3

Crystalline YSe3 at its relaxed geometry (GGA-PBE, Alexandria).

Calculated values
E_form (uncorrected) = -0.556 eV/atom
Total DFT energy (no corrections) = -0.176 Ha/atom
DOS at the Fermi energy = 2.038 states/eV/atom
M_tot = 0.000 μB/atom
Space-group type = Fm-3m
V = 22.58 Å³ per atom

Cell lengths 5.036, 5.036, 5.036 Å; angles 60.00, 60.00, 60.00 degrees
Sites, in units of the cell vectors:
Y1 0.000 0.000 0.000
Se1 0.250 0.250 0.250
Se2 0.500 0.500 0.500
Se3 0.750 0.750 0.750


(2)
# LiCuGeIr

Crystalline LiCuGeIr at its relaxed geometry (GGA-PBE, Alexandria).

Calculated values
Distance to the lowest polymorph of the same formula = 0 meV/atom
Total DFT energy (no corrections) = -0.190 Ha/atom
DOS at the Fermi energy = 0.528 states/eV/atom
M_tot = 0.000 μB/atom
Space-group type = F-43m
V = 13.40 Å³ per atom
Formation energy = -1.1 eV/f.u.

Cell lengths 4.232, 4.232, 4.232 Å; angles 60.00, 60.00, 60.00 degrees
Sites, in units of the cell vectors:
Li1 0.000 0.000 0.000
Cu1 0.250 0.250 0.250
Ge1 0.750 0.750 0.750
Ir1 0.500 0.500 0.500